! GGA-PBEsol TePbS2, optimized geometry; values from VASP
&SYSTEM
  ibrav = 0, nat = 4, ntyp = 3
/
ATOMIC_SPECIES
Te 127.60 Te.upf
Pb 207.20 Pb.upf
S 32.06 S.upf
CELL_PARAMETERS angstrom
1.919 1.108 8.547
-1.919 1.108 8.547
0.000 -2.216 8.547
ATOMIC_POSITIONS angstrom
Te 0.000 0.000 0.000
Pb 0.000 0.000 12.820
S 0.000 0.000 2.515
S 0.000 0.000 23.126
! - E_tot: -16.423 eV per cell
! - D(E_F): 3.2 states/eV/f.u.
! - Calculated density: 6.076 Mg/m³
! - ΔE_f (raw): -0.13 eV/f.u.
! - SG: R-3m

---

! GGA-PBEsol Te3PbS, optimized geometry; values from VASP
&SYSTEM
  ibrav = 0, nat = 5, ntyp = 3
/
ATOMIC_SPECIES
Te 127.60 Te.upf
Pb 207.20 Pb.upf
S 32.06 S.upf
CELL_PARAMETERS angstrom
5.250 0.000 0.000
0.000 5.250 0.000
0.000 0.000 5.250
ATOMIC_POSITIONS angstrom
Te 0.000 0.000 2.625
Te 0.000 2.625 0.000
Te 2.625 0.000 0.000
Pb 2.625 2.625 2.625
S 0.000 0.000 0.000
! - E_tot: -18.072 eV per cell
! - D(E_F): 5.3 states/eV/f.u.
! - Calculated density: 7.139 Mg/m³
! - ΔE_f (raw): 0.89 eV/f.u.
! - SG: Pm-3m

---

! GGA-PBEsol TePb2S, optimized geometry; values from VASP
&SYSTEM
  ibrav = 0, nat = 4, ntyp = 3
/
ATOMIC_SPECIES
Te 127.60 Te.upf
Pb 207.20 Pb.upf
S 32.06 S.upf
CELL_PARAMETERS angstrom
4.378 0.000 0.000
0.000 4.378 0.000
0.000 0.000 6.196
ATOMIC_POSITIONS angstrom
Te 0.000 0.000 0.000
Pb 0.000 0.000 3.098
Pb 2.189 2.189 0.000
S 2.189 2.189 3.098
! - E_tot: -17.357 eV per cell
! - Polymorph energy (0 for the lowest one): 70 meV per atom
! - D(E_F): 0.0 states/eV/f.u.
! - Calculated density: 8.026 Mg/m³
! - ΔE_f (raw): -1.45 eV/f.u.
! - SG: P4/mmm

---

! GGA-PBEsol TiPbS3, optimized geometry; values from VASP
&SYSTEM
  ibrav = 0, nat = 5, ntyp = 3
/
ATOMIC_SPECIES
Ti 47.87 Ti.upf
Pb 207.20 Pb.upf
S 32.06 S.upf
CELL_PARAMETERS angstrom
4.698 0.000 0.000
0.000 4.698 0.000
0.000 0.000 4.698
ATOMIC_POSITIONS angstrom
Ti 0.000 0.000 0.000
Pb 2.349 2.349 2.349
S 0.000 0.000 2.349
S 0.000 2.349 0.000
S 2.349 0.000 0.000
! - E_tot: -29.429 eV per cell
! - D(E_F): 1.9 states/eV/f.u.
! - Calculated density: 5.627 Mg/m³
! - ΔE_f (raw): -3.96 eV/f.u.
! - SG: Pm-3m

---

! GGA-PBEsol Ti3PbS, optimized geometry; values from VASP
&SYSTEM
  ibrav = 0, nat = 5, ntyp = 3
/
ATOMIC_SPECIES
Ti 47.87 Ti.upf
Pb 207.20 Pb.upf
S 32.06 S.upf
CELL_PARAMETERS angstrom
4.498 0.000 0.000
0.000 4.498 0.000
0.000 0.000 4.498
ATOMIC_POSITIONS angstrom
Ti 0.000 0.000 2.249
Ti 0.000 2.249 0.000
Ti 2.249 0.000 0.000
Pb 2.249 2.249 2.249
S 0.000 0.000 0.000
! - E_tot: -35.621 eV per cell
! - D(E_F): 7.6 states/eV/f.u.
! - Calculated density: 6.988 Mg/m³
! - ΔE_f (raw): -2.27 eV/f.u.
! - SG: Pm-3m

---

! GGA-PBEsol ZrTl2PbS4, optimized geometry; values from VASP
&SYSTEM
  ibrav = 0, nat = 16, ntyp = 4
/
ATOMIC_SPECIES
Zr 91.22 Zr.upf
Tl 204.38 Tl.upf
Pb 207.20 Pb.upf
S 32.06 S.upf
CELL_PARAMETERS angstrom
7.604 -4.066 0.000
7.604 4.066 0.000
-2.191 0.000 6.348
ATOMIC_POSITIONS angstrom
Zr 5.961 3.083 4.761
Zr 7.056 -3.083 1.587
Tl 2.138 1.027 4.868
Tl 3.234 -1.027 1.694
Tl 9.784 1.027 4.654
Tl 10.879 -1.027 1.480
Pb 7.056 0.998 1.587
Pb 5.961 -0.998 4.761
S 3.919 3.219 6.328
S 8.003 3.219 3.194
S 4.794 1.297 3.393
S 7.128 1.297 6.128
S 5.889 -1.297 0.219
S 8.223 -1.297 2.955
S 5.014 -3.219 3.154
S 9.099 -3.219 0.020
! - E_tot: -85.994 eV per cell
! - Calculated density: 7.068 Mg/m³
! - ΔE_f (raw): -7.11 eV/f.u.
! - SG: C2/c

---

! GGA-PBEsol Tm2PbS4, optimized geometry; values from VASP
&SYSTEM
  ibrav = 0, nat = 28, ntyp = 3
/
ATOMIC_SPECIES
Tm 168.93 Tm.upf
Pb 207.20 Pb.upf
S 32.06 S.upf
CELL_PARAMETERS angstrom
11.875 0.000 0.000
0.000 3.877 0.000
0.000 0.000 13.989
ATOMIC_POSITIONS angstrom
Tm 0.736 0.969 1.583
Tm 1.015 0.969 8.340
Tm 4.923 2.908 1.346
Tm 5.202 2.908 8.577
Tm 6.674 0.969 5.411
Tm 6.953 0.969 12.643
Tm 10.861 2.908 5.649
Tm 11.140 2.908 12.405
Pb 2.960 0.969 4.652
Pb 2.978 2.908 11.647
Pb 8.898 0.969 2.342
Pb 8.915 2.908 9.336
S 0.424 2.908 10.028
S 1.052 0.969 12.942
S 1.506 2.908 6.547
S 2.421 2.908 2.365
S 3.516 0.969 9.359
S 4.432 0.969 13.541
S 4.886 2.908 5.948
S 5.514 0.969 3.033
S 6.362 2.908 10.955
S 6.989 0.969 8.041
S 7.444 2.908 0.448
S 8.359 2.908 4.630
S 9.454 0.969 11.624
S 10.370 0.969 7.442
S 10.824 2.908 1.046
S 11.451 0.969 3.961
! - E_tot: -171.946 eV per cell
! - D(E_F): 0.0 states/eV/f.u.
! - Calculated density: 6.944 Mg/m³
! - ΔE_f (raw): -11.65 eV/f.u.
! - SG: Pnma

---

! GGA-PBEsol Tm2PbS4, optimized geometry; values from VASP
&SYSTEM
  ibrav = 0, nat = 56, ntyp = 3
/
ATOMIC_SPECIES
Tm 168.93 Tm.upf
Pb 207.20 Pb.upf
S 32.06 S.upf
CELL_PARAMETERS angstrom
3.877 -14.035 0.000
3.877 14.035 0.000
0.000 0.000 11.862
ATOMIC_POSITIONS angstrom
Tm 3.877 12.118 5.931
Tm 1.939 5.060 1.458
Tm 1.939 2.179 7.640
Tm 3.877 9.127 11.574
Tm 3.877 4.899 5.630
Tm 1.939 -2.179 1.709
Tm 1.939 -5.060 7.389
Tm 3.877 1.927 11.797
Tm 3.877 -1.927 5.866
Tm 5.815 5.060 1.458
Tm 5.815 2.179 7.640
Tm 3.877 -4.899 11.561
Tm 3.877 -9.127 5.643
Tm 5.815 -2.179 1.709
Tm 5.815 -5.060 7.389
Tm 3.877 -12.118 0.000
Pb 1.939 5.864 9.607
Pb 3.877 12.774 9.960
Pb 1.939 -5.864 3.676
Pb 3.877 1.090 3.559
Pb 3.877 -1.090 9.490
Pb 5.815 5.864 9.607
Pb 3.877 -12.774 4.029
Pb 5.815 -5.864 3.676
S 1.945 6.586 6.222
S 3.877 13.477 0.942
S 1.943 3.117 5.124
S 3.877 10.067 2.214
S 3.877 9.489 5.597
S 1.948 2.431 1.746
S 1.924 1.144 10.126
S 3.877 8.151 9.058
S 1.924 -1.144 4.195
S 3.877 5.890 3.123
S 1.948 -2.431 7.677
S 3.877 4.559 11.516
S 3.877 3.964 8.135
S 1.943 -3.117 11.055
S 3.877 0.477 7.040
S 1.945 -6.586 0.291
S 5.809 6.586 6.222
S 3.877 -0.477 1.109
S 5.811 3.117 5.124
S 3.877 -3.964 2.204
S 3.877 -4.559 5.585
S 5.806 2.431 1.746
S 3.877 -5.890 9.054
S 5.830 1.144 10.126
S 3.877 -8.151 3.127
S 5.830 -1.144 4.195
S 5.806 -2.431 7.677
S 3.877 -9.489 11.528
S 3.877 -10.067 8.145
S 5.811 -3.117 11.055
S 3.877 -13.477 6.873
S 5.809 -6.586 0.291
! - E_tot: -343.925 eV per cell
! - D(E_F): 0.0 states/eV/f.u.
! - Calculated density: 6.929 Mg/m³
! - ΔE_f (raw): -11.66 eV/f.u.
! - SG: Cmc2_1

---

! GGA-PBEsol ZrPbS2, optimized geometry; values from VASP
&SYSTEM
  ibrav = 0, nat = 4, ntyp = 3
/
ATOMIC_SPECIES
Zr 91.22 Zr.upf
Pb 207.20 Pb.upf
S 32.06 S.upf
CELL_PARAMETERS angstrom
1.927 1.112 8.287
-1.927 1.112 8.287
0.000 -2.225 8.287
ATOMIC_POSITIONS angstrom
Zr 0.000 0.000 0.000
Pb 0.000 0.000 12.430
S 0.000 0.000 2.395
S 0.000 0.000 22.466
! - E_tot: -23.034 eV per cell
! - D(E_F): 1.2 states/eV/f.u.
! - Calculated density: 5.650 Mg/m³
! - ΔE_f (raw): -1.18 eV/f.u.
! - SG: R-3m

---

! GGA-PBEsol ZrPbS3, optimized geometry; values from VASP
&SYSTEM
  ibrav = 0, nat = 5, ntyp = 3
/
ATOMIC_SPECIES
Zr 91.22 Zr.upf
Pb 207.20 Pb.upf
S 32.06 S.upf
CELL_PARAMETERS angstrom
4.931 0.000 0.000
0.000 4.931 0.000
0.000 0.000 4.931
ATOMIC_POSITIONS angstrom
Zr 0.000 0.000 0.000
Pb 2.465 2.465 2.465
S 0.000 0.000 2.465
S 0.000 2.465 0.000
S 2.465 0.000 0.000
! - E_tot: -30.755 eV per cell
! - Polymorph energy (0 for the lowest one): 254 meV per atom
! - Calculated density: 5.467 Mg/m³
! - ΔE_f (raw): -4.51 eV/f.u.
! - SG: Pm-3m

---

! GGA-PBEsol ZrPbS3, optimized geometry; values from VASP
&SYSTEM
  ibrav = 0, nat = 20, ntyp = 3
/
ATOMIC_SPECIES
Zr 91.22 Zr.upf
Pb 207.20 Pb.upf
S 32.06 S.upf
CELL_PARAMETERS angstrom
8.931 0.000 0.000
0.000 3.740 0.000
0.000 0.000 13.736
ATOMIC_POSITIONS angstrom
Zr 1.492 0.935 0.681
Zr 2.973 2.805 7.549
Zr 5.958 0.935 6.187
Zr 7.438 2.805 13.055
Pb 0.117 0.935 9.251
Pb 4.348 2.805 2.383
Pb 4.583 0.935 11.353
Pb 8.813 2.805 4.485
S 0.098 0.935 12.263
S 1.474 0.935 6.693
S 2.028 2.805 9.862
S 2.437 0.935 2.994
S 2.991 2.805 13.561
S 4.367 2.805 5.395
S 4.563 0.935 8.341
S 5.940 0.935 0.176
S 6.493 2.805 10.742
S 6.903 0.935 3.874
S 7.456 2.805 7.044
S 8.833 2.805 1.473
! - E_tot: -128.095 eV per cell
! - Polymorph energy (0 for the lowest one): 0 meV per atom
! - Calculated density: 5.712 Mg/m³
! - ΔE_f (raw): -5.78 eV/f.u.
! - SG: Pnma

---

! GGA-PBEsol ZrPbS2, optimized geometry; values from VASP
&SYSTEM
  ibrav = 0, nat = 4, ntyp = 3
/
ATOMIC_SPECIES
Zr 91.22 Zr.upf
Pb 207.20 Pb.upf
S 32.06 S.upf
CELL_PARAMETERS angstrom
1.761 1.017 8.841
-1.761 1.017 8.841
0.000 -2.034 8.841
ATOMIC_POSITIONS angstrom
Zr 0.000 0.000 0.000
Pb 0.000 0.000 13.262
S 0.000 0.000 10.383
S 0.000 0.000 16.140
! - E_tot: -26.576 eV per cell
! - D(E_F): 1.8 states/eV/f.u.
! - Calculated density: 6.336 Mg/m³
! - ΔE_f (raw): -4.72 eV/f.u.
! - SG: R-3m

---

Which of these has the highest E_tot? TePbS2

---

Please write out number 4 again, unchanged.
! GGA-PBEsol TiPbS3, optimized geometry; values from VASP
&SYSTEM
  ibrav = 0, nat = 5, ntyp = 3
/
ATOMIC_SPECIES
Ti 47.87 Ti.upf
Pb 207.20 Pb.upf
S 32.06 S.upf
CELL_PARAMETERS angstrom
4.698 0.000 0.000
0.000 4.698 0.000
0.000 0.000 4.698
ATOMIC_POSITIONS angstrom
Ti 0.000 0.000 0.000
Pb 2.349 2.349 2.349
S 0.000 0.000 2.349
S 0.000 2.349 0.000
S 2.349 0.000 0.000
! - E_tot: -29.429 eV per cell
! - D(E_F): 1.9 states/eV/f.u.
! - Calculated density: 5.627 Mg/m³
! - ΔE_f (raw): -3.96 eV/f.u.
! - SG: Pm-3m